--- i ---
## La4Pr2Er (PBE-GGA)

Data for crystalline La4Pr2Er at its relaxed geometry.

POSCAR file:
```
La4Pr2Er
1.0
-3.493 5.868 6.221
3.493 -5.868 6.221
3.493 5.868 -6.221
La Pr Er
8 4 2
direct
0.152 0.147 0.005
0.244 0.213 0.469
0.244 0.775 0.031
0.358 0.853 0.505
0.642 0.147 0.495
0.756 0.225 0.969
0.756 0.787 0.531
0.848 0.853 0.995
0.000 0.500 0.500
0.032 0.282 0.750
0.500 0.500 0.000
0.968 0.718 0.250
0.500 0.000 0.000
0.500 0.500 0.500
```

Calculated values
crystal system: orthorhombic
space-group type: Imma, No. 74
magnetic moment: 0.0 μB per formula unit

=====

--- ii ---
## La4Pr2Er (PBE-GGA)

Data for crystalline La4Pr2Er at its relaxed geometry.

POSCAR file:
```
La4Pr2Er
1.0
6.409 0.000 0.000
2.108 7.970 0.000
0.031 0.002 9.789
La Pr Er
8 4 2
direct
0.000 0.000 0.000
0.001 0.501 0.502
0.143 0.577 0.143
0.285 0.649 0.788
0.427 0.214 0.928
0.429 0.718 0.429
0.570 0.288 0.572
0.711 0.363 0.214
0.284 0.144 0.287
0.712 0.863 0.717
0.856 0.431 0.858
0.856 0.932 0.358
0.140 0.074 0.643
0.572 0.790 0.073
```

Calculated values
crystal system: triclinic
space-group type: P1, No. 1
magnetic moment: 0.0 μB per formula unit

=====

Stability, highest: ii

=====

--- i ---
## La5PrEr (PBE-GGA)

Data for crystalline La5PrEr at its relaxed geometry.

POSCAR file:
```
La5PrEr
1.0
8.435 -3.397 0.000
8.435 3.397 0.000
-6.622 0.000 8.893
La Pr Er
10 2 2
direct
0.007 0.993 0.750
0.078 0.572 0.909
0.167 0.656 0.409
0.344 0.833 0.091
0.428 0.922 0.591
0.572 0.078 0.409
0.656 0.167 0.909
0.833 0.344 0.591
0.922 0.428 0.091
0.993 0.007 0.250
0.000 0.500 0.500
0.500 0.000 0.000
0.489 0.511 0.750
0.511 0.489 0.250
```

Calculated values
crystal system: monoclinic
space-group type: C2/c, No. 15
magnetic moment: 0.0 μB per formula unit

=====

--- ii ---
## La5PrEr (PBE-GGA)

Data for crystalline La5PrEr at its relaxed geometry.

POSCAR file:
```
La5PrEr
1.0
3.153 -8.941 0.000
3.153 8.941 0.000
-1.862 0.000 9.014
La Pr Er
10 2 2
direct
0.017 0.389 0.648
0.142 0.858 0.750
0.242 0.546 0.034
0.389 0.017 0.148
0.454 0.758 0.466
0.546 0.242 0.534
0.611 0.983 0.852
0.758 0.454 0.966
0.858 0.142 0.250
0.983 0.611 0.352
0.000 0.000 0.000
0.000 0.000 0.500
0.489 0.511 0.750
0.511 0.489 0.250
```

Calculated values
crystal system: monoclinic
space-group type: C2/c, No. 15
magnetic moment: 0.0 μB per formula unit

=====

Stability, highest: i

=====

--- i ---
## LaPr4Er3 (PBE-GGA)

Data for crystalline LaPr4Er3 at its relaxed geometry.

POSCAR file:
```
LaPr4Er3
1.0
-1.759 5.911 6.595
1.759 -5.911 6.595
1.759 5.911 -6.595
La Pr Er
1 4 3
direct
0.000 0.000 0.000
0.118 0.867 0.251
0.384 0.133 0.251
0.616 0.867 0.749
0.882 0.133 0.749
0.240 0.740 0.500
0.500 0.500 0.000
0.760 0.260 0.500
```

Calculated values
crystal system: orthorhombic
space-group type: Immm, No. 71
magnetic moment: 0.0 μB per formula unit

=====

--- ii ---
## LaPr4Er3 (PBE-GGA)

Data for crystalline LaPr4Er3 at its relaxed geometry.

POSCAR file:
```
LaPr4Er3
1.0
11.733 0.000 0.000
0.000 7.390 0.000
0.000 0.000 6.364
La Pr Er
2 8 6
direct
0.000 0.125 0.000
0.500 0.875 0.500
0.000 0.371 0.509
0.000 0.632 0.994
0.245 0.627 0.337
0.255 0.373 0.837
0.500 0.368 0.494
0.500 0.629 0.009
0.745 0.373 0.837
0.755 0.627 0.337
0.000 0.879 0.501
0.249 0.120 0.335
0.251 0.880 0.835
0.500 0.121 0.001
0.749 0.880 0.835
0.751 0.120 0.335
```

Calculated values
crystal system: orthorhombic
space-group type: Pmn2_1, No. 31
magnetic moment: 0.0 μB per formula unit

=====

Stability, highest: ii

=====

--- i ---
## La2Pr8Er3 (PBE-GGA)

Data for crystalline La2Pr8Er3 at its relaxed geometry.

POSCAR file:
```
La2Pr8Er3
1.0
10.551 -3.880 0.000
10.551 3.880 0.000
-0.003 0.000 5.736
La Pr Er
2 8 3
direct
0.241 0.241 0.498
0.759 0.759 0.502
0.128 0.128 0.999
0.194 0.602 0.500
0.332 0.332 0.999
0.398 0.806 0.500
0.602 0.194 0.500
0.668 0.668 0.001
0.806 0.398 0.500
0.872 0.872 0.001
0.000 0.000 0.500
0.284 0.716 0.000
0.716 0.284 0.000
```

Calculated values
crystal system: monoclinic
space-group type: C2/m, No. 12
magnetic moment: 0.0 μB per formula unit

=====

--- ii ---
## La2Pr8Er3 (PBE-GGA)

Data for crystalline La2Pr8Er3 at its relaxed geometry.

POSCAR file:
```
La2Pr8Er3
1.0
6.790 -5.969 0.000
6.790 5.969 0.000
-2.520 0.000 5.670
La Pr Er
2 8 3
direct
0.189 0.189 0.342
0.811 0.811 0.658
0.085 0.085 0.765
0.100 0.578 0.343
0.362 0.362 0.892
0.422 0.900 0.657
0.578 0.100 0.343
0.638 0.638 0.108
0.900 0.422 0.657
0.915 0.915 0.235
0.238 0.762 0.000
0.500 0.500 0.500
0.762 0.238 0.000
```

Calculated values
crystal system: monoclinic
space-group type: C2/m, No. 12
magnetic moment: 0.0 μB per formula unit

=====

Stability, highest: ii

=====

--- i ---
## La3Pr2Er (PBE-GGA)

Data for crystalline La3Pr2Er at its relaxed geometry.

POSCAR file:
```
La3Pr2Er
1.0
6.919 0.000 0.000
0.000 18.008 0.000
0.000 0.000 3.483
La Pr Er
6 4 2
direct
0.000 0.000 0.000
0.242 0.322 0.000
0.258 0.822 0.500
0.500 0.500 0.500
0.742 0.178 0.500
0.758 0.678 0.000
0.234 0.152 0.500
0.266 0.652 0.000
0.734 0.348 0.000
0.766 0.848 0.500
0.000 0.500 0.000
0.500 0.000 0.500
```

Calculated values
crystal system: orthorhombic
space-group type: Pnnm, No. 58
magnetic moment: 0.0 μB per formula unit

=====

--- ii ---
## La3Pr2Er (PBE-GGA)

Data for crystalline La3Pr2Er at its relaxed geometry.

POSCAR file:
```
La3Pr2Er
1.0
6.421 0.000 0.000
-3.211 5.561 0.000
0.000 0.000 12.025
La Pr Er
6 4 2
direct
0.000 0.329 0.250
0.000 0.671 0.750
0.329 0.000 0.250
0.329 0.329 0.750
0.671 0.000 0.750
0.671 0.671 0.250
0.333 0.667 0.000
0.333 0.667 0.500
0.667 0.333 0.000
0.667 0.333 0.500
0.000 0.000 0.000
0.000 0.000 0.500
```

Calculated values
crystal system: hexagonal
space-group type: P6_3/mcm, No. 193
magnetic moment: 0.0 μB per formula unit

=====

Stability, highest: ii

=====

--- i ---
## LaPr12Er6 (PBE-GGA)

Data for crystalline LaPr12Er6 at its relaxed geometry.

POSCAR file:
```
LaPr12Er6
1.0
6.116 3.531 5.157
-6.116 3.531 5.157
0.000 -7.062 5.157
La Pr Er
1 12 6
direct
0.000 0.000 0.000
0.017 0.365 0.194
0.194 0.017 0.365
0.217 0.568 0.464
0.365 0.194 0.017
0.432 0.536 0.783
0.464 0.217 0.568
0.536 0.783 0.432
0.568 0.464 0.217
0.635 0.806 0.983
0.783 0.432 0.536
0.806 0.983 0.635
0.983 0.635 0.806
0.101 0.258 0.702
0.258 0.702 0.101
0.298 0.899 0.742
0.702 0.101 0.258
0.742 0.298 0.899
0.899 0.742 0.298
```

Calculated values
crystal system: trigonal
space-group type: R-3, No. 148
magnetic moment: 0.0 μB per formula unit

=====

--- ii ---
## LaPr12Er6 (PBE-GGA)

Data for crystalline LaPr12Er6 at its relaxed geometry.

POSCAR file:
```
LaPr12Er6
1.0
7.621 4.400 3.489
-7.621 4.400 3.489
0.000 -8.800 3.489
La Pr Er
1 12 6
direct
0.000 0.000 0.000
0.112 0.500 0.888
0.112 0.888 0.500
0.166 0.385 0.385
0.385 0.166 0.385
0.385 0.385 0.166
0.500 0.112 0.888
0.500 0.888 0.112
0.615 0.615 0.834
0.615 0.834 0.615
0.834 0.615 0.615
0.888 0.112 0.500
0.888 0.500 0.112
0.262 0.694 0.694
0.306 0.306 0.738
0.306 0.738 0.306
0.694 0.262 0.694
0.694 0.694 0.262
0.738 0.306 0.306
```

Calculated values
crystal system: trigonal
space-group type: R-3m, No. 166
magnetic moment: 0.0 μB per formula unit

=====

Stability, highest: i

=====

--- i ---
## LaPrErTh (PBE-GGA)

Data for crystalline LaPrErTh at its relaxed geometry.

POSCAR file:
```
LaPrErTh
1.0
3.626 0.000 0.000
0.000 3.626 0.000
0.000 0.000 10.360
La Pr Er Th
1 1 1 1
direct
0.000 0.000 0.000
0.500 0.500 0.728
0.500 0.500 0.256
0.000 0.000 0.486
```

Calculated values
crystal system: tetragonal
space-group type: P4mm, No. 99
magnetic moment: 0.0 μB per formula unit

=====

--- ii ---
## LaPrErTh (PBE-GGA)

Data for crystalline LaPrErTh at its relaxed geometry.

POSCAR file:
```
LaPrErTh
1.0
0.000 4.087 4.087
4.087 0.000 4.087
4.087 4.087 0.000
La Pr Er Th
1 1 1 1
direct
0.000 0.000 0.000
0.500 0.500 0.500
0.250 0.250 0.250
0.750 0.750 0.750
```

Calculated values
crystal system: cubic
space-group type: F-43m, No. 216
magnetic moment: 0.0 μB per formula unit

=====

Stability, highest: i

=====

--- i ---
## LaPrErZn (PBE-GGA)

Data for crystalline LaPrErZn at its relaxed geometry.

POSCAR file:
```
LaPrErZn
1.0
0.000 3.886 3.886
3.886 0.000 3.886
3.886 3.886 0.000
La Pr Er Zn
1 1 1 1
direct
0.000 0.000 0.000
0.500 0.500 0.500
0.750 0.750 0.750
0.250 0.250 0.250
```

Calculated values
crystal system: cubic
space-group type: F-43m, No. 216
magnetic moment: 0.0 μB per formula unit

=====

--- ii ---
## LaPrErZn (PBE-GGA)

Data for crystalline LaPrErZn at its relaxed geometry.

POSCAR file:
```
LaPrErZn
1.0
3.652 0.000 0.000
0.000 3.652 0.000
0.000 0.000 8.907
La Pr Er Zn
1 1 1 1
direct
0.000 0.000 0.000
0.500 0.500 0.309
0.000 0.000 0.592
0.500 0.500 0.771
```

Calculated values
crystal system: tetragonal
space-group type: P4mm, No. 99
magnetic moment: 0.0 μB per formula unit

=====

Stability, highest: ii

=====

--- i ---
## LaEr2Pt (PBE-GGA)

Data for crystalline LaEr2Pt at its relaxed geometry.

POSCAR file:
```
LaEr2Pt
1.0
3.550 0.000 0.000
0.000 3.550 0.000
0.000 0.000 8.708
La Er Pt
1 2 1
direct
0.000 0.000 0.000
0.500 0.500 0.315
0.500 0.500 0.685
0.000 0.000 0.500
```

Calculated values
crystal system: tetragonal
space-group type: P4/mmm, No. 123
magnetic moment: 0.0 μB per formula unit

=====

--- ii ---
## LaEr2Pt (PBE-GGA)

Data for crystalline LaEr2Pt at its relaxed geometry.

POSCAR file:
```
LaEr2Pt
1.0
1.961 1.132 9.355
-1.961 1.132 9.355
0.000 -2.264 9.355
La Er Pt
1 2 1
direct
0.000 0.000 0.000
0.224 0.224 0.224
0.776 0.776 0.776
0.500 0.500 0.500
```

Calculated values
crystal system: trigonal
space-group type: R-3m, No. 166
magnetic moment: 0.0 μB per formula unit

=====

Stability, highest: i

=====

--- i ---
## LaEr2Pt (PBE-GGA)

Data for crystalline LaEr2Pt at its relaxed geometry.

POSCAR file:
```
LaEr2Pt
1.0
1.988 1.148 9.068
-1.988 1.148 9.068
0.000 -2.296 9.068
La Er Pt
1 2 1
direct
0.000 0.000 0.000
0.554 0.554 0.554
0.773 0.773 0.773
0.163 0.163 0.163
```

Calculated values
crystal system: trigonal
space-group type: R3m, No. 160
magnetic moment: 0.0 μB per formula unit

=====

--- ii ---
## LaEr2Pt (PBE-GGA)

Data for crystalline LaEr2Pt at its relaxed geometry.

POSCAR file:
```
LaEr2Pt
1.0
7.183 0.000 0.000
0.000 9.649 0.000
0.000 0.000 6.573
La Er Pt
4 8 4
direct
0.023 0.250 0.135
0.477 0.750 0.635
0.523 0.250 0.365
0.977 0.750 0.865
0.176 0.064 0.671
0.176 0.436 0.671
0.324 0.564 0.171
0.324 0.936 0.171
0.676 0.064 0.829
0.676 0.436 0.829
0.824 0.564 0.329
0.824 0.936 0.329
0.117 0.750 0.425
0.383 0.250 0.925
0.617 0.750 0.075
0.883 0.250 0.575
```

Calculated values
crystal system: orthorhombic
space-group type: Pnma, No. 62
magnetic moment: 0.0 μB per formula unit

=====

Stability, highest: ii

=====

--- i ---
## LaErPt (PBE-GGA)

Data for crystalline LaErPt at its relaxed geometry.

POSCAR file:
```
LaErPt
1.0
3.394 -3.394 0.000
3.394 3.394 0.000
-0.113 0.000 7.139
La Er Pt
2 2 2
direct
0.250 0.250 0.115
0.750 0.750 0.885
0.249 0.751 0.500
0.751 0.249 0.500
0.256 0.256 0.717
0.744 0.744 0.283
```

Calculated values
crystal system: monoclinic
space-group type: C2/m, No. 12
magnetic moment: 0.0 μB per formula unit

=====

--- ii ---
## LaErPt (PBE-GGA)

Data for crystalline LaErPt at its relaxed geometry.

POSCAR file:
```
LaErPt
1.0
4.656 0.000 0.000
-2.328 4.032 0.000
0.000 0.000 4.473
La Er Pt
1 1 1
direct
0.000 0.000 0.000
0.333 0.667 0.492
0.667 0.333 0.653
```

Calculated values
crystal system: trigonal
space-group type: P3m1, No. 156
magnetic moment: 0.0 μB per formula unit

=====

Stability, highest: i